# Rb2YCrO6 PBE+U optimized geometry
data_Rb2YCrO6
_chemical_formula_sum 'Rb2 Y1 Cr1 O6'
_space_group_name_H-M_alt 'P -3 m 1'
_space_group_IT_number 164
_space_group_name_Hall '-P 3 2"'
_cell_length_a 6.4169
_cell_length_b 6.4169
_cell_length_c 5.6900
_cell_angle_alpha 90.00
_cell_angle_beta 90.00
_cell_angle_gamma 120.00
loop_
_atom_site_label
_atom_site_fract_x
_atom_site_fract_y
_atom_site_fract_z
_atom_site_occupancy
Rb1 0.3333 0.6667 0.3797 1
Y1 0.0000 0.0000 0.0000 1
Cr1 0.0000 0.0000 0.5000 1
O1 0.1328 0.2656 0.6968 1
# - magnetization (μB per cell) = 1.0
# - energy (eV/atom) = -6.164
# - Fermi-level density of states (states/eV per cell) = 1.42